Entry 1:
The following is a PBE-GGA calculation of a relaxed TbTmHgOs crystal, from Alexandria.

Cell: 4.993 4.993 4.993 Å, 60.00 60.00 60.00°
Fractional positions:
Hg (0.750, 0.750, 0.750)
Tm (0.500, 0.500, 0.500)
Os (0.250, 0.250, 0.250)
Tb (0.000, 0.000, 0.000)

calculated formation energy	-26	kJ per mole of atoms
VASP energy	-5.43	eV/atom
Fermi-level density of states	3.44	states/eV/f.u.
total magnetization	0.0	μB/f.u.

***

Entry 2:
The following is a PBE-GGA calculation of a relaxed Al4ZnCu5 crystal, from Alexandria.

Cell: 3.052 3.052 14.270 Å, 90.00 90.00 90.00°
Fractional positions:
Zn (0.000, 0.000, 0.000)
Cu (0.500, 0.500, 0.899)
Cu (0.500, 0.500, 0.500)
Cu (0.500, 0.500, 0.700)
Cu (0.500, 0.500, 0.300)
Cu (0.500, 0.500, 0.101)
Al (0.000, 0.000, 0.198)
Al (0.000, 0.000, 0.399)
Al (0.000, 0.000, 0.802)
Al (0.000, 0.000, 0.601)

calculated formation energy	-15	kJ per mole of atoms
VASP energy	-3.83	eV/atom
Fermi-level density of states	2.13	states/eV/f.u.
total magnetization	0.0	μB/f.u.

***

Entry 3:
The following is a PBE-GGA calculation of a relaxed Be2RuRh2 crystal, from Alexandria.

Cell: 6.437 6.437 2.779 Å, 90.00 90.00 90.00°
Fractional positions:
Rh (0.331, 0.169, 0.500)
Rh (0.831, 0.331, 0.500)
Rh (0.669, 0.831, 0.500)
Rh (0.169, 0.669, 0.500)
Ru (0.500, 0.500, 0.000)
Ru (0.000, 0.000, 0.000)
Be (0.874, 0.626, 0.000)
Be (0.126, 0.374, 0.000)
Be (0.626, 0.126, 0.000)
Be (0.374, 0.874, 0.000)

calculated formation energy	-33	kJ per mole of atoms
VASP energy	-6.63	eV/atom
Fermi-level density of states	7.40	states/eV/f.u.
total magnetization	0.0	μB/f.u.

***

Entry 4:
The following is a PBE-GGA calculation of a relaxed Hg2Pt3Pb8 crystal, from Alexandria.

Cell: 7.323 7.537 7.760 Å, 119.05 83.70 90.00°
Fractional positions:
Pb (0.283, 0.890, 0.251)
Pb (0.338, 0.417, 0.835)
Pb (0.823, 0.097, 0.194)
Pb (0.177, 0.903, 0.806)
Pb (0.283, 0.361, 0.251)
Pb (0.717, 0.639, 0.749)
Pb (0.717, 0.110, 0.749)
Pb (0.662, 0.583, 0.165)
Pt (0.000, 0.687, 0.000)
Pt (0.500, 0.000, 0.000)
Pt (0.000, 0.313, 0.000)
Hg (0.034, 0.286, 0.572)
Hg (0.966, 0.714, 0.428)

calculated formation energy	-6	kJ per mole of atoms
VASP energy	-3.79	eV/atom
Fermi-level density of states	6.24	states/eV/f.u.
total magnetization	0.0	μB/f.u.

***

Question: Number 2 is which compound?
Answer: Al4ZnCu5

***

Question: Which value of total magnetization does entry 3 give?
Answer: 0.0 μB/f.u.

***

Question: Which value of total magnetization does entry 3 give?
Answer: 0.0 μB/f.u.

***

Question: Number 4 is which compound?
Answer: Hg2Pt3Pb8